{
  "formula": "Tm4ThIn6",
  "functional": "PBE",
  "state": "relaxed",
  "lattice": [[-3.0525, 7.0695, -1.7106], [-0.0570, -5.4887, -5.6650], [-3.8760, -4.5136, 5.1793]],
  "species": ["In", "Tm", "Tm", "In", "Th", "In", "Tm", "Tm", "In", "In", "In"],
  "frac_coords": [[0.5000, 0.0000, 0.5000], [0.0000, 0.2537, 0.6145], [0.6392, 0.3855, 0.3855], [0.7118, 0.1300, 0.1300], [0.0000, 0.0000, 0.0000], [0.5000, 0.5000, 0.0000], [0.3608, 0.7463, 0.7463], [0.0000, 0.6145, 0.2537], [0.0000, 0.8700, 0.5817], [0.2882, 0.4183, 0.4183], [0.0000, 0.5817, 0.8700]],
  "spacegroup": "No. 121",
  "dft_energy_ev_per_atom": -3.685,
  "e_form_mev_per_atom": 109
}



{
  "formula": "Nd2YTm2Th2",
  "functional": "PBE",
  "state": "relaxed",
  "lattice": [[-1.1367, -0.5496, 3.1924], [10.4578, -6.2709, 0.7983], [-6.0029, 10.3461, -0.3564]],
  "species": ["Th", "Y", "Nd", "Tm", "Tm", "Th", "Nd"],
  "frac_coords": [[0.5943, 0.1887, 0.4093], [0.0000, 0.0000, 0.5000], [0.2951, 0.5902, 0.9506], [0.3465, 0.6931, 0.7613], [0.6535, 0.3069, 0.2387], [0.4057, 0.8113, 0.5907], [0.7049, 0.4098, 0.0494]],
  "spacegroup": "No. 12",
  "dft_energy_ev_per_atom": -5.490,
  "e_form_mev_per_atom": 193
}



{
  "formula": "ScInW2",
  "functional": "PBE",
  "state": "relaxed",
  "lattice": [[-2.0963, 1.9893, 3.6698], [1.9304, -0.3079, 4.2424], [1.8762, 3.7854, 1.9926]],
  "species": ["W", "W", "Sc", "In"],
  "frac_coords": [[0.7500, 0.7500, 0.7500], [0.0000, 0.0000, 0.0000], [0.2500, 0.2500, 0.2500], [0.5000, 0.5000, 0.5000]],
  "spacegroup": "No. 216",
  "dft_energy_ev_per_atom": -8.576,
  "e_form_mev_per_atom": 168
}



{
  "formula": "MgSn3Ru",
  "functional": "PBE",
  "state": "relaxed",
  "lattice": [[-3.0441, -0.7242, -1.9614], [3.2017, -3.9757, -0.0245], [-5.6737, -4.6339, 10.5167]],
  "species": ["Sn", "Ru", "Sn", "Sn", "Sn", "Mg", "Sn", "Sn", "Mg", "Ru"],
  "frac_coords": [[0.5983, 0.8454, 0.7500], [0.0436, 0.7354, 0.2500], [0.4641, 0.5760, 0.3969], [0.7529, 0.1546, 0.2500], [0.4641, 0.5760, 0.1031], [0.1773, 0.0000, 0.5000], [0.8881, 0.4240, 0.8969], [0.8881, 0.4240, 0.6031], [0.1773, 0.0000, 0.0000], [0.3082, 0.2646, 0.7500]],
  "spacegroup": "No. 40",
  "dft_energy_ev_per_atom": -4.646,
  "e_form_mev_per_atom": -70
}